A plane-wave DFT calculation with PBE+U was carried out for a geometry-optimized AcTa2MnO8 structure.

The calculation puts the energy at -106.6 eV per cell. Its mass density is 7.570 g/cm3. Its crystal system is monoclinic.

extended XYZ file:
```
12
Lattice="3.796 -3.333 0.000 3.796 3.333 0.000 -0.132 0.000 6.691" Properties=species:S:1:pos:R:3 pbc="T T T"
Ac 0.000 0.000 0.000
Ta 3.476 0.000 4.870
Ta 3.985 0.000 1.822
Mn -0.066 0.000 3.346
O 3.673 1.943 1.972
O 3.787 1.943 4.719
O 2.376 0.000 3.360
O 2.413 0.000 6.476
O 5.047 0.000 0.215
O 5.084 0.000 3.331
O 3.673 -1.943 1.972
O 3.787 -1.943 4.719
```